# 1
Entry from Alexandria via LeMat-Bulk: HfTeHW2 after structural relaxation (GGA-PBE).

a = 5.1194 Å, b = 3.4347 Å, c = 5.1194 Å
α = 90.00°, β = 90.00°, γ = 90.00°
Last column: nearest neighbours and their distance in Å.
Element x y z (fractional)
Te (0.5000, 0.5000, 0.5000)  8 W 3.08, 2 Te 3.43
W (0.5000, 0.0000, 0.0000)  2 Hf 2.56
W (0.0000, 0.0000, 0.5000)  2 Hf 2.56
Hf (0.0000, 0.0000, 0.0000)  2 H 1.72
H (0.0000, 0.5000, 0.0000)  2 Hf 1.72

Values from the calculation:
DOS at the Fermi energy = 5.55 states/eV/f.u.
Magnetic moment = 0.00 μB per cell
Final energy = -35.5 eV/cell
V = 90.0 Å³/cell
Space group = P4/mmm, No. 123

# 2
Entry from Alexandria via LeMat-Bulk: Ce2Nd4Te3N2 after structural relaxation (GGA-PBE).

a = 4.7741 Å, b = 4.7741 Å, c = 13.4846 Å
α = 100.20°, β = 100.20°, γ = 90.00°
Last column: nearest neighbours and their distance in Å.
Element x y z (fractional)
N (0.6103, 0.6103, 0.2206)  1 Ce 2.17
N (0.3897, 0.3897, 0.7794)  1 Ce 2.17
Nd (0.0821, 0.5821, 0.1643)  2 N 2.50
Nd (0.5821, 0.0821, 0.1643)  2 N 2.50
Nd (0.4179, 0.9179, 0.8357)  2 N 2.50
Nd (0.9179, 0.4179, 0.8357)  2 N 2.50
Ce (0.6932, 0.6932, 0.3864)  1 N 2.17
Ce (0.3068, 0.3068, 0.6136)  1 N 2.17
Te (0.1769, 0.1769, 0.3538)  5 Ce 3.39-3.40, 4 Nd 3.44, 4 N 3.80
Te (0.8231, 0.8231, 0.6462)  5 Ce 3.39-3.40, 4 Nd 3.44, 4 N 3.80
Te (0.0000, 0.0000, 0.0000)  8 Nd 3.21

Values from the calculation:
DOS at the Fermi energy = 17.95 states/eV/f.u.
Magnetic moment = 2.73 μB per cell
Final energy = -70.0 eV/cell
Raw formation energy = -1.1793 eV per atom
V = 297.6 Å³/cell
Space group = I4/mmm, No. 139

# 3
Entry from Alexandria via LeMat-Bulk: SrCdFe2 after structural relaxation (GGA-PBE).

a = 5.0187 Å, b = 5.0187 Å, c = 3.1551 Å
α = 90.00°, β = 90.00°, γ = 90.80°
Last column: nearest neighbours and their distance in Å.
Element x y z (fractional)
Fe (0.0000, 0.0000, 0.0000)  4 Sr 2.96, 4 Cd 2.96, 2 Fe 3.16
Fe (0.5000, 0.5000, 0.0000)  4 Cd 2.96, 4 Sr 2.96, 2 Fe 3.16
Sr (0.5000, 0.0000, 0.5000)  8 Fe 2.96, 2 Sr 3.16
Cd (0.0000, 0.5000, 0.5000)  8 Fe 2.96, 2 Cd 3.16

Values from the calculation:
DOS at the Fermi energy = 5.12 states/eV/f.u.
Magnetic moment = 4.81 μB per cell
Final energy = -16.4 eV/cell
E_form = 787 meV/atom
V = 79.5 Å³/cell
Space group = Cmmm, No. 65

# 4
Entry from Alexandria via LeMat-Bulk: GaAsO4 after structural relaxation (GGA-PBE).

a = 8.3108 Å, b = 9.4457 Å, c = 8.9340 Å
α = 118.13°, β = 90.00°, γ = 116.10°
Last column: nearest neighbours and their distance in Å.
Element x y z (fractional)
As (0.0039, 0.6624, 0.8264)  6 O 1.82-1.93
As (0.6724, 0.0118, 0.2538)  6 O 1.80-1.93
As (0.6674, 0.6872, 0.8467)  6 O 1.84-1.92
As (0.3620, 0.0000, 0.5000)  6 O 1.85-1.94
As (0.9803, 0.3128, 0.1533)  6 O 1.84-1.92
As (0.9965, 0.6695, 0.3237)  6 O 1.79-1.91
As (0.3270, 0.3305, 0.6763)  6 O 1.79-1.91
As (0.6605, 0.9882, 0.7462)  6 O 1.80-1.93
As (0.3415, 0.3376, 0.1736)  6 O 1.82-1.93
O (0.2508, 0.1130, 0.6771)  2 As 1.87-1.94, 1 Ga 2.03
O (0.1245, 0.2267, 0.5052)  1 As 1.81, 2 Ga 1.98-1.99
O (0.5459, 0.4591, 0.3522)  1 As 1.82, 1 Ga 1.93
O (0.8963, 0.4501, 0.3285)  2 As 1.87-1.88
O (0.7923, 0.9174, 0.3133)  1 As 1.82, 2 Ga 2.00
O (0.8979, 0.7733, 0.4948)  1 As 1.81, 2 Ga 1.98-1.99
O (0.7928, 0.5875, 0.1695)  1 As 1.79, 1 Ga 1.93
O (0.4450, 0.2341, 0.0029)  1 As 1.83, 2 Ga 1.99-2.03
O (0.8858, 0.4503, 0.8352)  1 As 1.84, 2 Ga 1.95-2.01
O (0.7698, 0.2138, 0.9744)  2 As 1.91-1.93, 1 Ga 2.08
O (0.1123, 0.2267, 0.0060)  2 As 1.84-1.93
O (0.4545, 0.8886, 0.3132)  2 As 1.88-1.91
O (0.5495, 0.4649, 0.8519)  2 As 1.88-1.91, 1 Ga 2.00
O (0.4412, 0.2199, 0.5078)  2 As 1.85-1.91
O (0.8861, 0.1120, 0.1815)  2 As 1.85-1.89
O (0.7643, 0.2192, 0.4694)  1 As 1.80, 2 Ga 1.94-2.00
O (0.0846, 0.5351, 0.1481)  2 As 1.88-1.91, 1 Ga 2.00
O (0.2110, 0.7659, 0.9971)  1 As 1.83, 2 Ga 1.99-2.03
O (0.5450, 0.7808, 0.5306)  1 As 1.80, 2 Ga 1.94-2.00
O (0.7740, 0.8880, 0.8185)  2 As 1.85-1.89
O (0.5659, 0.1114, 0.6868)  2 As 1.88-1.91
O (0.4355, 0.5497, 0.1648)  1 As 1.84, 2 Ga 1.95-2.01
O (0.1378, 0.8870, 0.3229)  2 As 1.87-1.94, 1 Ga 2.03
O (0.8857, 0.7733, 0.9940)  2 As 1.84-1.93
O (0.2459, 0.1246, 0.1807)  1 As 1.84, 2 Ga 1.91-2.02
O (0.0868, 0.5409, 0.6478)  1 As 1.82, 1 Ga 1.93
O (0.4462, 0.5499, 0.6715)  2 As 1.87-1.88
O (0.5561, 0.7862, 0.0256)  2 As 1.91-1.93, 1 Ga 2.08
O (0.5692, 0.1168, 0.1950)  1 As 1.80, 2 Ga 1.94-2.01
O (0.2213, 0.7801, 0.4922)  2 As 1.85-1.91
O (0.7789, 0.5780, 0.6722)  2 As 1.92, 1 Ga 2.01
O (0.2009, 0.4220, 0.3278)  2 As 1.92, 1 Ga 2.01
O (0.2053, 0.4125, 0.8305)  1 As 1.79, 1 Ga 1.93
O (0.1214, 0.8754, 0.8193)  1 As 1.84, 2 Ga 1.91-2.02
O (0.4523, 0.8832, 0.8050)  1 As 1.80, 2 Ga 1.94-2.01
O (0.8749, 0.0826, 0.6867)  1 As 1.82, 2 Ga 2.00
Ga (0.3050, 0.6431, 0.5745)  6 O 1.93-2.13
Ga (0.3606, 0.0000, 0.0000)  6 O 1.94-2.02
Ga (0.6670, 0.7038, 0.3480)  6 O 1.94-2.10
Ga (0.6619, 0.3569, 0.4255)  6 O 1.93-2.13
Ga (0.6734, 0.3675, 0.9379)  5 O 1.93-2.08
Ga (0.9632, 0.2962, 0.6520)  6 O 1.94-2.10
Ga (0.0369, 0.0169, 0.2578)  5 O 1.91-2.10
Ga (0.3059, 0.6325, 0.0621)  5 O 1.93-2.08
Ga (0.0201, 0.9831, 0.7422)  5 O 1.91-2.10

Values from the calculation:
Magnetic moment = 0.00 μB per cell
Final energy = -323.8 eV/cell
Raw formation energy = -1.4110 eV per atom
V = 536.0 Å³/cell
Space group = C2, No. 5

> What is the magnetic moment in the first record?

0.00 μB per cell

Please write out number 3 again, unchanged.
Entry from Alexandria via LeMat-Bulk: SrCdFe2 after structural relaxation (GGA-PBE).

a = 5.0187 Å, b = 5.0187 Å, c = 3.1551 Å
α = 90.00°, β = 90.00°, γ = 90.80°
Last column: nearest neighbours and their distance in Å.
Element x y z (fractional)
Fe (0.0000, 0.0000, 0.0000)  4 Sr 2.96, 4 Cd 2.96, 2 Fe 3.16
Fe (0.5000, 0.5000, 0.0000)  4 Cd 2.96, 4 Sr 2.96, 2 Fe 3.16
Sr (0.5000, 0.0000, 0.5000)  8 Fe 2.96, 2 Sr 3.16
Cd (0.0000, 0.5000, 0.5000)  8 Fe 2.96, 2 Cd 3.16

Values from the calculation:
DOS at the Fermi energy = 5.12 states/eV/f.u.
Magnetic moment = 4.81 μB per cell
Final energy = -16.4 eV/cell
E_form = 787 meV/atom
V = 79.5 Å³/cell
Space group = Cmmm, No. 65